# Er4Tm7Sc | Alexandria via LeMat-Bulk | PBE | optimized geometry
# DOS(E_F) = 1.86 states/eV/atom
# DFT total energy = -54.6 eV per cell
# M_tot = 0.0 μB per formula unit
data_Er4Tm7Sc
_chemical_formula_sum 'Er4 Tm7 Sc1'
_symmetry_space_group_name_H-M 'P -1'
_symmetry_Int_Tables_number 2
_cell_length_a 6.359
_cell_length_b 6.653
_cell_length_c 8.899
_cell_angle_alpha 85.18
_cell_angle_beta 76.35
_cell_angle_gamma 81.01
loop_
_symmetry_equiv_pos_as_xyz
'x,y,z'
'-x,-y,-z'
loop_
_atom_site_label
_atom_site_type_symbol
_atom_site_fract_x
_atom_site_fract_y
_atom_site_fract_z
Er1 Er 0.152 0.313 0.281
Er2 Er 0.331 0.881 0.692
Tm1 Tm 0.004 0.255 0.951
Tm2 Tm 0.176 0.802 0.362
Tm3 Tm 0.313 0.391 0.616
Tm4 Tm 0.500 0.000 0.000
Sc1 Sc 0.500 0.500 0.000